[1]
Below is a geometry-optimized TmGaCu5 structure, with properties calculated at the GGA-PBE level.

POSCAR file:
```
TmGaCu5
1.0
5.003 0.000 0.000
0.000 8.043 0.000
0.000 0.000 10.121
Tm Ga Cu
4 4 20
Direct
0.250 0.244 0.939
0.750 0.256 0.439
0.250 0.744 0.561
0.750 0.756 0.061
0.250 0.855 0.854
0.750 0.645 0.354
0.250 0.355 0.646
0.750 0.145 0.146
0.250 0.593 0.017
0.750 0.907 0.517
0.250 0.093 0.483
0.750 0.407 0.983
0.750 0.317 0.746
0.250 0.183 0.246
0.750 0.817 0.754
0.250 0.683 0.254
0.250 0.936 0.089
0.750 0.564 0.589
0.250 0.436 0.411
0.750 0.064 0.911
0.994 0.434 0.194
0.006 0.066 0.694
0.506 0.934 0.306
0.494 0.566 0.806
0.006 0.566 0.806
0.994 0.934 0.306
0.494 0.066 0.694
0.506 0.434 0.194
```

Energy of formation (eV per formula unit): -1.7
Density of states at the Fermi level (states/eV/cell): 14.04

=====

[2]
Below is a geometry-optimized MnAg4Sb2S6 structure, with properties calculated at the GGA-PBE level.

POSCAR file:
```
MnAg4Sb2S6
1.0
8.000 0.000 0.000
0.000 6.720 -0.006
0.000 6.415 10.629
Mn Ag Sb S
2 8 4 12
Direct
0.500 0.500 0.500
0.000 0.500 0.000
0.033 0.234 0.527
0.467 0.234 0.027
0.967 0.766 0.473
0.296 0.748 0.182
0.796 0.252 0.318
0.704 0.252 0.818
0.204 0.748 0.682
0.533 0.766 0.973
0.851 0.838 0.189
0.649 0.838 0.689
0.149 0.162 0.811
0.351 0.162 0.311
0.093 0.403 0.220
0.258 0.762 0.894
0.593 0.597 0.280
0.907 0.597 0.780
0.407 0.403 0.720
0.826 0.843 0.986
0.326 0.157 0.514
0.174 0.157 0.014
0.674 0.843 0.486
0.242 0.762 0.394
0.742 0.238 0.106
0.758 0.238 0.606
```

ΔE_f (raw) (kJ per mole of atoms): -19

=====

[3]
Below is a geometry-optimized MnZnCo2H structure, with properties calculated at the GGA-PBE level.

POSCAR file:
```
MnZnCo2H
1.0
-0.956 -2.025 2.933
3.388 0.427 1.399
-1.104 3.047 1.744
H Zn Mn Co
1 1 1 2
Direct
0.000 0.000 0.000
0.500 0.500 0.500
0.000 0.000 0.500
0.000 0.500 0.000
0.500 0.000 0.000
```

Density of states at the Fermi level (states/eV/cell): 3.82
Offset from the most stable computed form (meV/atom): 0.0

=====

[4]
Below is a geometry-optimized PrTm2ThSe4 structure, with properties calculated at the GGA-PBE level.

POSCAR file:
```
PrTm2ThSe4
1.0
-2.817 -2.520 -1.404
2.708 0.780 -6.834
4.907 -4.926 -1.006
Pr Tm Th Se
1 2 1 4
Direct
0.500 0.500 0.000
0.000 0.000 0.000
0.500 0.000 0.500
0.000 0.500 0.500
0.000 0.773 0.741
0.000 0.227 0.259
0.500 0.772 0.244
0.500 0.228 0.756
```

ΔE_f (raw) (kJ per mole of atoms): -162
Density of states at the Fermi level (states/eV/cell): 4.29

=====

[5]
Below is a geometry-optimized Na2Tl3AgCl6 structure, with properties calculated at the GGA-PBE level.

POSCAR file:
```
Na2Tl3AgCl6
1.0
-1.630 6.080 3.703
0.705 -6.327 3.579
7.346 1.398 -1.518
Na Tl Ag Cl
2 3 1 6
Direct
0.334 0.666 0.000
0.666 0.334 0.000
0.167 0.833 0.500
0.833 0.167 0.500
0.500 0.500 0.500
0.000 0.000 0.000
0.931 0.603 0.791
0.739 0.739 0.215
0.069 0.397 0.209
0.603 0.931 0.791
0.261 0.261 0.785
0.397 0.069 0.209
```

ΔE_f (raw) (kJ per mole of atoms): -112
Density of states at the Fermi level (states/eV/cell): 0.00

=====

[6]
Below is a geometry-optimized La3Pm2TmSe6 structure, with properties calculated at the GGA-PBE level.

POSCAR file:
```
La3Pm2TmSe6
1.0
7.308 -0.011 -0.002
-3.662 6.325 -0.002
-1.218 -2.110 6.925
La Pm Tm Se
3 2 1 6
Direct
0.172 0.828 0.500
0.828 0.172 0.500
0.500 0.500 0.500
0.333 0.667 0.000
0.667 0.333 0.000
0.000 0.000 0.000
0.922 0.599 0.765
0.757 0.757 0.239
0.078 0.401 0.235
0.599 0.922 0.765
0.243 0.243 0.761
0.401 0.078 0.235
```

ΔE_f (raw) (kJ per mole of atoms): -183
Density of states at the Fermi level (states/eV/cell): 6.22

=====

[7]
Below is a geometry-optimized Pa2TeCl structure, with properties calculated at the GGA-PBE level.

POSCAR file:
```
Pa2TeCl
1.0
-0.319 -3.275 -1.346
2.710 -2.289 0.232
-2.738 -5.144 8.471
Pa Te Cl
2 1 1
Direct
0.089 0.089 0.734
0.911 0.911 0.266
0.500 0.500 0.500
0.000 0.000 0.000
```

ΔE_f (raw) (kJ per mole of atoms): -46
Density of states at the Fermi level (states/eV/cell): 7.01
Offset from the most stable computed form (meV/atom): 0.0

=====

[8]
Below is a geometry-optimized MgCdSnPb structure, with properties calculated at the GGA-PBE level.

POSCAR file:
```
MgCdSnPb
1.0
-0.704 -0.687 -3.256
-2.392 -2.208 0.985
-6.058 6.530 -0.065
Mg Cd Sn Pb
1 1 1 1
Direct
0.145 0.855 0.232
0.647 0.353 0.445
0.646 0.354 0.998
0.147 0.853 0.714
```

Energy of formation (eV per formula unit): -0.1
Density of states at the Fermi level (states/eV/cell): 0.94
Offset from the most stable computed form (meV/atom): 0.0

=====

| no. | total moment (μB per formula unit) | calculated volume (Å³ per atom) |
| --- | --- | --- |
| 1 | 0.0 | 14.54 |
| 2 | 5.0 | 21.99 |
| 3 | 5.8 | 10.03 |
| 4 | 0.0 | 24.84 |
| 5 | 0.0 | 27.88 |
| 6 | 0.0 | 26.65 |
| 7 | 1.1 | 27.57 |
| 8 | 0.0 | 25.76 |